Computed, not measured: a relaxed structure of AlCoN3 at the PBE level of DFT.

Geometry as POSCAR:
```
AlCoN3
1.0
3.642 0.000 0.000
0.000 3.642 0.000
0.000 0.000 3.642
Al Co N
1 1 3
direct
0.000 0.000 0.000
0.500 0.500 0.500
0.000 0.500 0.500
0.500 0.000 0.500
0.500 0.500 0.000
```

Computed properties:
**Total magnetic moment**: 0.000 μB/atom
**Calculated volume**: 9.665 Å³/atom
**Raw formation energy**: 1.27 eV per atom